1.
## AlCrRe2 (PBE-GGA)

Data for AlCrRe2 after structural relaxation.

Results
As for the total energy: -38.2 eV for the cell shown. The value obtained for the density of states at the Fermi level is 2.924 states/eV/f.u.

Cell and atoms, written as CIF:
```
data_AlCrRe2
_chemical_formula_sum 'Al1 Cr1 Re2'
_cell_length_a 2.7429
_cell_length_b 4.0068
_cell_length_c 5.1412
_cell_angle_alpha 90.00
_cell_angle_beta 90.00
_cell_angle_gamma 90.00
_symmetry_space_group_name_H-M 'P m m 2'
_symmetry_Int_Tables_number 25
_symmetry_space_group_name_Hall 'P 2 -2'
loop_
_atom_site_label
_atom_site_fract_x
_atom_site_fract_y
_atom_site_fract_z
Al1 0.0000 0.0000 0.0000
Cr1 0.5000 0.5000 0.2284
Re1 0.0000 0.0000 0.4940
Re2 0.5000 0.5000 0.7466
```


2.
## Al2CrRe (PBE-GGA)

Data for Al2CrRe after structural relaxation.

Results
Its energy above the most stable polymorph in this dataset is 167.3 meV per atom. The value obtained for the density of states at the Fermi level is 2.660 states/eV/f.u.

Cell and atoms, written as CIF:
```
data_Al2CrRe
_chemical_formula_sum 'Al4 Cr2 Re2'
_cell_length_a 3.1290
_cell_length_b 4.2517
_cell_length_c 8.2729
_cell_angle_alpha 90.00
_cell_angle_beta 90.00
_cell_angle_gamma 90.00
_symmetry_space_group_name_H-M 'I m m m'
_symmetry_Int_Tables_number 71
_symmetry_space_group_name_Hall '-I 2 2'
loop_
_atom_site_label
_atom_site_fract_x
_atom_site_fract_y
_atom_site_fract_z
Al1 0.0000 0.0000 0.2446
Cr1 0.0000 0.5000 0.5000
Re1 0.0000 0.5000 0.0000
```


3.
## AlCrRe3 (PBE-GGA)

Data for AlCrRe3 after structural relaxation.

Results
As for the total energy: -43.3 eV for the cell shown. The value obtained for the density of states at the Fermi level is 5.447 states/eV/f.u.

Cell and atoms, written as CIF:
```
data_AlCrRe3
_chemical_formula_sum 'Al1 Cr1 Re3'
_cell_length_a 4.4410
_cell_length_b 4.4410
_cell_length_c 4.4410
_cell_angle_alpha 90.00
_cell_angle_beta 90.00
_cell_angle_gamma 90.00
_symmetry_space_group_name_H-M 'P m -3 m'
_symmetry_Int_Tables_number 221
_symmetry_space_group_name_Hall '-P 4 2 3'
loop_
_atom_site_label
_atom_site_fract_x
_atom_site_fract_y
_atom_site_fract_z
Al1 0.0000 0.0000 0.0000
Cr1 0.5000 0.5000 0.5000
Re1 0.0000 0.5000 0.5000
```


4.
## AlCrRe2 (PBE-GGA)

Data for AlCrRe2 after structural relaxation.

Results
As for the total energy: -77.4 eV for the cell shown. The value obtained for the density of states at the Fermi level is 2.711 states/eV/f.u.

Cell and atoms, written as CIF:
```
data_AlCrRe2
_chemical_formula_sum 'Al2 Cr2 Re4'
_cell_length_a 3.0582
_cell_length_b 4.3406
_cell_length_c 8.4231
_cell_angle_alpha 90.00
_cell_angle_beta 90.00
_cell_angle_gamma 90.00
_symmetry_space_group_name_H-M 'I m m m'
_symmetry_Int_Tables_number 71
_symmetry_space_group_name_Hall '-I 2 2'
loop_
_atom_site_label
_atom_site_fract_x
_atom_site_fract_y
_atom_site_fract_z
Al1 0.0000 0.0000 0.0000
Cr1 0.0000 0.0000 0.5000
Re1 0.0000 0.5000 0.2401
```


5.
## Al2CrRe (PBE-GGA)

Data for Al2CrRe after structural relaxation.

Results
Its energy above the most stable polymorph in this dataset is 235.2 meV per atom. The value obtained for the density of states at the Fermi level is 5.645 states/eV/f.u.

Cell and atoms, written as CIF:
```
data_Al2CrRe
_chemical_formula_sum 'Al6 Cr3 Re3'
_cell_length_a 2.8212
_cell_length_b 2.8212
_cell_length_c 25.4289
_cell_angle_alpha 90.00
_cell_angle_beta 90.00
_cell_angle_gamma 120.00
_symmetry_space_group_name_H-M 'R 3 m'
_symmetry_Int_Tables_number 160
_symmetry_space_group_name_Hall 'R 3 -2"'
loop_
_atom_site_label
_atom_site_fract_x
_atom_site_fract_y
_atom_site_fract_z
Al1 0.0000 0.0000 0.0000
Al2 0.0000 0.0000 0.2419
Cr1 0.0000 0.0000 0.4938
Re1 0.0000 0.0000 0.7523
```


6.
## AlCrReRu (PBE-GGA)

Data for AlCrReRu after structural relaxation.

Results
As for the total energy: -142.9 eV for the cell shown. The value obtained for the density of states at the Fermi level is 3.969 states/eV/f.u.

Cell and atoms, written as CIF:
```
data_AlCrReRu
_chemical_formula_sum 'Al4 Cr4 Re4 Ru4'
_cell_length_a 6.0092
_cell_length_b 6.0092
_cell_length_c 6.0092
_cell_angle_alpha 90.00
_cell_angle_beta 90.00
_cell_angle_gamma 90.00
_symmetry_space_group_name_H-M 'F -4 3 m'
_symmetry_Int_Tables_number 216
_symmetry_space_group_name_Hall 'F -4 2 3'
loop_
_atom_site_label
_atom_site_fract_x
_atom_site_fract_y
_atom_site_fract_z
Al1 0.0000 0.0000 0.0000
Cr1 0.0000 0.0000 0.5000
Re1 0.2500 0.2500 0.2500
Ru1 0.2500 0.2500 0.7500
```


7.
## Al2CrReSb (PBE-GGA)

Data for Al2CrReSb after structural relaxation.

Results
For the formation energy without anion corrections, the calculation gives 51.4 kcal/mol of atoms. The value obtained for the density of states at the Fermi level is 6.945 states/eV/f.u.

Cell and atoms, written as CIF:
```
data_Al2CrReSb
_chemical_formula_sum 'Al2 Cr1 Re1 Sb1'
_cell_length_a 5.0571
_cell_length_b 5.0571
_cell_length_c 4.9166
_cell_angle_alpha 90.00
_cell_angle_beta 90.00
_cell_angle_gamma 90.00
_symmetry_space_group_name_H-M 'P 4/m m m'
_symmetry_Int_Tables_number 123
_symmetry_space_group_name_Hall '-P 4 2'
loop_
_atom_site_label
_atom_site_fract_x
_atom_site_fract_y
_atom_site_fract_z
Al1 0.0000 0.5000 0.0000
Cr1 0.0000 0.0000 0.5000
Re1 0.5000 0.5000 0.5000
Sb1 0.5000 0.5000 0.0000
```


8.
## ScAlCrRe (PBE-GGA)

Data for ScAlCrRe after structural relaxation.

Results
As for the total energy: -130.3 eV for the cell shown. The value obtained for the density of states at the Fermi level is 3.519 states/eV/f.u.

Cell and atoms, written as CIF:
```
data_ScAlCrRe
_chemical_formula_sum 'Sc4 Al4 Cr4 Re4'
_cell_length_a 6.2338
_cell_length_b 6.2338
_cell_length_c 6.2338
_cell_angle_alpha 90.00
_cell_angle_beta 90.00
_cell_angle_gamma 90.00
_symmetry_space_group_name_H-M 'F -4 3 m'
_symmetry_Int_Tables_number 216
_symmetry_space_group_name_Hall 'F -4 2 3'
loop_
_atom_site_label
_atom_site_fract_x
_atom_site_fract_y
_atom_site_fract_z
Sc1 0.0000 0.0000 0.0000
Al1 0.2500 0.2500 0.2500
Cr1 0.2500 0.2500 0.7500
Re1 0.0000 0.0000 0.5000
```


9.
## SrAlCr2Re (PBE-GGA)

Data for SrAlCr2Re after structural relaxation.

Results
As for the total energy: -31.0 eV for the cell shown. The value obtained for the density of states at the Fermi level is 4.022 states/eV/f.u.

Cell and atoms, written as CIF:
```
data_SrAlCr2Re
_chemical_formula_sum 'Sr1 Al1 Cr2 Re1'
_cell_length_a 4.7303
_cell_length_b 4.7303
_cell_length_c 5.7774
_cell_angle_alpha 90.00
_cell_angle_beta 90.00
_cell_angle_gamma 90.00
_symmetry_space_group_name_H-M 'P 4/m m m'
_symmetry_Int_Tables_number 123
_symmetry_space_group_name_Hall '-P 4 2'
loop_
_atom_site_label
_atom_site_fract_x
_atom_site_fract_y
_atom_site_fract_z
Sr1 0.0000 0.0000 0.0000
Al1 0.5000 0.5000 0.0000
Cr1 0.0000 0.5000 0.5000
Re1 0.0000 0.0000 0.5000
```


10.
## TaAlCrRe (PBE-GGA)

Data for TaAlCrRe after structural relaxation.

Results
As for the total energy: -154.1 eV for the cell shown. The value obtained for the density of states at the Fermi level is 0.686 states/eV/f.u.

Cell and atoms, written as CIF:
```
data_TaAlCrRe
_chemical_formula_sum 'Ta4 Al4 Cr4 Re4'
_cell_length_a 6.2507
_cell_length_b 6.2507
_cell_length_c 6.2507
_cell_angle_alpha 90.00
_cell_angle_beta 90.00
_cell_angle_gamma 90.00
_symmetry_space_group_name_H-M 'F -4 3 m'
_symmetry_Int_Tables_number 216
_symmetry_space_group_name_Hall 'F -4 2 3'
loop_
_atom_site_label
_atom_site_fract_x
_atom_site_fract_y
_atom_site_fract_z
Ta1 0.0000 0.0000 0.0000
Al1 0.0000 0.0000 0.5000
Cr1 0.2500 0.2500 0.2500
Re1 0.2500 0.2500 0.7500
```


11.
## AlCrReTc (PBE-GGA)

Data for AlCrReTc after structural relaxation.

Results
As for the total energy: -146.5 eV for the cell shown. The value obtained for the density of states at the Fermi level is 2.572 states/eV/f.u.

Cell and atoms, written as CIF:
```
data_AlCrReTc
_chemical_formula_sum 'Al4 Cr4 Re4 Tc4'
_cell_length_a 6.0296
_cell_length_b 6.0296
_cell_length_c 6.0296
_cell_angle_alpha 90.00
_cell_angle_beta 90.00
_cell_angle_gamma 90.00
_symmetry_space_group_name_H-M 'F -4 3 m'
_symmetry_Int_Tables_number 216
_symmetry_space_group_name_Hall 'F -4 2 3'
loop_
_atom_site_label
_atom_site_fract_x
_atom_site_fract_y
_atom_site_fract_z
Al1 0.0000 0.0000 0.0000
Cr1 0.0000 0.0000 0.5000
Re1 0.2500 0.2500 0.2500
Tc1 0.2500 0.2500 0.7500
```


12.
## Ti5Al2CrRe2 (PBE-GGA)

Data for Ti5Al2CrRe2 after structural relaxation.

Results
As for the total energy: -161.4 eV for the cell shown. The value obtained for the density of states at the Fermi level is 11.564 states/eV/f.u.

Cell and atoms, written as CIF:
```
data_Ti5Al2CrRe2
_chemical_formula_sum 'Ti10 Al4 Cr2 Re4'
_cell_length_a 10.0360
_cell_length_b 10.0360
_cell_length_c 3.3219
_cell_angle_alpha 90.00
_cell_angle_beta 90.00
_cell_angle_gamma 90.00
_symmetry_space_group_name_H-M 'P 4/m b m'
_symmetry_Int_Tables_number 127
_symmetry_space_group_name_Hall '-P 4 2ab'
loop_
_atom_site_label
_atom_site_fract_x
_atom_site_fract_y
_atom_site_fract_z
Ti1 0.0000 0.5000 0.0000
Ti2 0.0770 0.1852 0.0000
Al1 0.1685 0.6685 0.5000
Cr1 0.0000 0.0000 0.5000
Re1 0.1341 0.3659 0.5000
```


13.
## AlVCrRe (PBE-GGA)

Data for AlVCrRe after structural relaxation.

Results
Its energy above the most stable polymorph in this dataset is 99.1 meV per atom. The value obtained for the density of states at the Fermi level is 4.945 states/eV/f.u.

Cell and atoms, written as CIF:
```
data_AlVCrRe
_chemical_formula_sum 'Al4 V4 Cr4 Re4'
_cell_length_a 6.0223
_cell_length_b 6.0223
_cell_length_c 6.0223
_cell_angle_alpha 90.00
_cell_angle_beta 90.00
_cell_angle_gamma 90.00
_symmetry_space_group_name_H-M 'F -4 3 m'
_symmetry_Int_Tables_number 216
_symmetry_space_group_name_Hall 'F -4 2 3'
loop_
_atom_site_label
_atom_site_fract_x
_atom_site_fract_y
_atom_site_fract_z
Al1 0.0000 0.0000 0.0000
V1 0.2500 0.2500 0.2500
Cr1 0.0000 0.0000 0.5000
Re1 0.2500 0.2500 0.7500
```


14.
## Al2V5CrRe2 (PBE-GGA)

Data for Al2V5CrRe2 after structural relaxation.

Results
As for the total energy: -171.5 eV for the cell shown. The value obtained for the density of states at the Fermi level is 6.941 states/eV/f.u.

Cell and atoms, written as CIF:
```
data_Al2V5CrRe2
_chemical_formula_sum 'Al4 V10 Cr2 Re4'
_cell_length_a 9.9806
_cell_length_b 9.9806
_cell_length_c 3.0520
_cell_angle_alpha 90.00
_cell_angle_beta 90.00
_cell_angle_gamma 90.00
_symmetry_space_group_name_H-M 'P 4/m b m'
_symmetry_Int_Tables_number 127
_symmetry_space_group_name_Hall '-P 4 2ab'
loop_
_atom_site_label
_atom_site_fract_x
_atom_site_fract_y
_atom_site_fract_z
Al1 0.1679 0.3321 0.0000
V1 0.0000 0.5000 0.5000
V2 0.0697 0.8202 0.5000
Cr1 0.0000 0.0000 0.0000
Re1 0.1373 0.6373 0.0000
```


15.
## AlV2CrRe (PBE-GGA)

Data for AlV2CrRe after structural relaxation.

Results
As for the total energy: -36.6 eV for the cell shown. The value obtained for the density of states at the Fermi level is 8.119 states/eV/f.u.

Cell and atoms, written as CIF:
```
data_AlV2CrRe
_chemical_formula_sum 'Al1 V2 Cr1 Re1'
_cell_length_a 4.5525
_cell_length_b 4.5525
_cell_length_c 4.7047
_cell_angle_alpha 90.00
_cell_angle_beta 90.00
_cell_angle_gamma 90.00
_symmetry_space_group_name_H-M 'P 4/m m m'
_symmetry_Int_Tables_number 123
_symmetry_space_group_name_Hall '-P 4 2'
loop_
_atom_site_label
_atom_site_fract_x
_atom_site_fract_y
_atom_site_fract_z
Al1 0.0000 0.0000 0.0000
V1 0.0000 0.5000 0.5000
Cr1 0.5000 0.5000 0.0000
Re1 0.0000 0.0000 0.5000
```


16.
## AlVCrRe (PBE-GGA)

Data for AlVCrRe after structural relaxation.

Results
Its energy above the most stable polymorph in this dataset is 0.0 meV per atom. The value obtained for the density of states at the Fermi level is 2.095 states/eV/f.u.

Cell and atoms, written as CIF:
```
data_AlVCrRe
_chemical_formula_sum 'Al4 V4 Cr4 Re4'
_cell_length_a 6.0673
_cell_length_b 6.0673
_cell_length_c 6.0673
_cell_angle_alpha 90.00
_cell_angle_beta 90.00
_cell_angle_gamma 90.00
_symmetry_space_group_name_H-M 'F -4 3 m'
_symmetry_Int_Tables_number 216
_symmetry_space_group_name_Hall 'F -4 2 3'
loop_
_atom_site_label
_atom_site_fract_x
_atom_site_fract_y
_atom_site_fract_z
Al1 0.0000 0.0000 0.0000
V1 0.0000 0.0000 0.5000
Cr1 0.2500 0.2500 0.7500
Re1 0.2500 0.2500 0.2500
```


17.
## AlZnCrRe (PBE-GGA)

Data for AlZnCrRe after structural relaxation.

Results
As for the total energy: -108.5 eV for the cell shown. The value obtained for the density of states at the Fermi level is 1.146 states/eV/f.u.

Cell and atoms, written as CIF:
```
data_AlZnCrRe
_chemical_formula_sum 'Al4 Zn4 Cr4 Re4'
_cell_length_a 6.0073
_cell_length_b 6.0073
_cell_length_c 6.0073
_cell_angle_alpha 90.00
_cell_angle_beta 90.00
_cell_angle_gamma 90.00
_symmetry_space_group_name_H-M 'F -4 3 m'
_symmetry_Int_Tables_number 216
_symmetry_space_group_name_Hall 'F -4 2 3'
loop_
_atom_site_label
_atom_site_fract_x
_atom_site_fract_y
_atom_site_fract_z
Al1 0.0000 0.0000 0.0000
Zn1 0.2500 0.2500 0.2500
Cr1 0.0000 0.0000 0.5000
Re1 0.2500 0.2500 0.7500
```


18.
## AlCr6Rh10 (PBE-GGA)

Data for AlCr6Rh10 after structural relaxation.

Results
As for the total energy: -135.3 eV for the cell shown. The value obtained for the density of states at the Fermi level is 20.618 states/eV/f.u.

Cell and atoms, written as CIF:
```
data_AlCr6Rh10
_chemical_formula_sum 'Al1 Cr6 Rh10'
_cell_length_a 7.2686
_cell_length_b 7.2686
_cell_length_c 5.2422
_cell_angle_alpha 90.00
_cell_angle_beta 90.00
_cell_angle_gamma 120.00
_symmetry_space_group_name_H-M 'P -3 1 m'
_symmetry_Int_Tables_number 162
_symmetry_space_group_name_Hall '-P 3 2'
loop_
_atom_site_label
_atom_site_fract_x
_atom_site_fract_y
_atom_site_fract_z
Al1 0.0000 0.0000 0.0000
Cr1 0.0000 0.3781 0.7842
Rh1 0.0000 0.2813 0.3060
Rh2 0.3333 0.6667 0.0000
Rh3 0.3333 0.6667 0.5000
```


19.
## AlCr2Rh (PBE-GGA)

Data for AlCr2Rh after structural relaxation.

Results
As for the total energy: -125.4 eV for the cell shown. The value obtained for the density of states at the Fermi level is 4.273 states/eV/f.u.

Cell and atoms, written as CIF:
```
data_AlCr2Rh
_chemical_formula_sum 'Al4 Cr8 Rh4'
_cell_length_a 5.9959
_cell_length_b 5.9959
_cell_length_c 5.9959
_cell_angle_alpha 90.00
_cell_angle_beta 90.00
_cell_angle_gamma 90.00
_symmetry_space_group_name_H-M 'F -4 3 m'
_symmetry_Int_Tables_number 216
_symmetry_space_group_name_Hall 'F -4 2 3'
loop_
_atom_site_label
_atom_site_fract_x
_atom_site_fract_y
_atom_site_fract_z
Al1 0.0000 0.0000 0.0000
Cr1 0.0000 0.0000 0.5000
Cr2 0.2500 0.2500 0.2500
Rh1 0.2500 0.2500 0.7500
```


20.
## Al8CrRh2 (PBE-GGA)

Data for Al8CrRh2 after structural relaxation.

Results
As for the total energy: -119.9 eV for the cell shown. The value obtained for the density of states at the Fermi level is 2.161 states/eV/f.u.

Cell and atoms, written as CIF:
```
data_Al8CrRh2
_chemical_formula_sum 'Al16 Cr2 Rh4'
_cell_length_a 4.0335
_cell_length_b 7.4553
_cell_length_c 10.9348
_cell_angle_alpha 90.00
_cell_angle_beta 90.00
_cell_angle_gamma 90.00
_symmetry_space_group_name_H-M 'I m m m'
_symmetry_Int_Tables_number 71
_symmetry_space_group_name_Hall '-I 2 2'
loop_
_atom_site_label
_atom_site_fract_x
_atom_site_fract_y
_atom_site_fract_z
Al1 0.0000 0.0000 0.1437
Al2 0.0000 0.2234 0.3425
Al3 0.0000 0.3111 0.0000
Cr1 0.0000 0.5000 0.5000
Rh1 0.0000 0.5000 0.2018
```